No. 1
This record from the Alexandria database describes Tb8PmTl2 after structural relaxation. The functional is PBE-GGA.

The calculated total energy comes out at -4.2381 eV/atom. As for the crystal system: monoclinic. The formation energy comes out at -0.009 eV per atom. The value obtained for the magnetization is 0.0 μB per formula unit.

POSCAR file:
```
Tb8PmTl2
1.0
-1.8618 3.4503 4.1270
-1.6761 -7.9625 3.3721
8.3469 2.6401 -0.9704
Tb Pm Tl
8 1 2
Cartesian
2.5026 -2.3871 6.0266
4.7860 0.0284 5.0373
3.4120 -2.1416 2.6465
-0.4086 -3.9118 4.4831
5.2176 2.0397 2.0456
1.3970 0.2694 3.8822
0.0230 -1.9005 1.4914
2.3064 0.5150 0.5021
-0.9309 1.7251 2.0635
5.2776 -0.6066 0.3593
1.3931 -4.7158 2.0423
```

=====

No. 2
This record from the Alexandria database describes MoIr2Se after structural relaxation. The functional is PBE-GGA.

The calculation puts the uncorrected formation energy at 0.30 eV per atom. The calculated total energy comes out at -7.7106 eV/atom. As for the crystal system: orthorhombic. The value obtained for the magnetization is 0.0 μB per formula unit.

POSCAR file:
```
MoIr2Se
1.0
-2.5831 -0.1730 -1.2872
2.0567 0.0587 -4.1352
0.2738 -4.6127 0.0707
Ir Mo Se
2 1 1
Cartesian
0.0000 0.0000 0.0000
-0.2632 -0.0572 -2.7112
-1.1547 -2.3929 -0.6083
1.1652 -2.2770 -2.0322
```

=====

No. 3
This record from the Alexandria database describes Tb2Ho3Al4 after structural relaxation. The functional is PBE-GGA.

The calculated total energy comes out at -4.3629 eV/atom. As for the crystal system: orthorhombic. The formation energy comes out at -0.145 eV per atom. The value obtained for the magnetization is 0.0 μB per formula unit.

POSCAR file:
```
Tb2Ho3Al4
1.0
6.7173 0.0000 0.0000
0.0000 8.5736 0.0000
-3.3586 0.0000 8.1357
Tb Ho Al
4 6 8
Cartesian
0.0000 4.9846 1.7074
3.3586 3.5890 6.4283
0.0000 0.6978 6.4283
3.3586 7.8759 1.7074
0.0000 0.0000 0.0000
3.3586 4.2868 0.0000
1.6793 6.4302 4.5143
5.0380 2.1434 3.6215
1.6793 2.1434 3.6215
-1.6793 6.4302 4.5143
1.6793 6.4302 7.4605
5.0380 2.1434 0.6752
1.6793 2.1434 0.6752
-1.6793 6.4302 7.4605
0.0000 8.2543 2.9128
3.3586 0.3193 5.2229
0.0000 3.9675 5.2229
3.3586 4.6061 2.9128
```

=====

No. 4
This record from the Alexandria database describes NaTb2Ag after structural relaxation. The functional is PBE-GGA.

The calculated total energy comes out at -3.1998 eV/atom. For the energy above the most stable polymorph in this dataset, the calculation gives 0.129 eV per atom. As for the crystal system: trigonal. The formation energy comes out at 0.158 eV per atom. The value obtained for the magnetization is 0.0 μB per formula unit.

POSCAR file:
```
NaTb2Ag
1.0
-1.2832 -1.4797 -2.8158
-0.3881 -3.4057 -0.1225
-11.4571 -0.5444 3.4182
Na Tb Ag
1 2 1
Cartesian
0.0000 0.0000 0.0000
-8.2341 -0.8649 2.1179
-4.8943 -4.5649 -1.6380
-6.5642 -2.7149 0.2400
```

=====

> Among the records above, which one has the lowest calculated total energy?

MoIr2Se